No. 1
Compound: Ba2CdAgRh
Source: the Alexandria database
Functional: GGA-PBE
Structure: relaxed

Offset from the most stable computed form in eV per formula unit: 0.446
Spin magnetization in μB per formula unit: 0.0
Formation energy in eV/f.u.: -0.25
N(E_F) in states/eV/f.u.: 3.56

a b c (Å): 5.870 5.870 5.246
angles (deg): 90.00 90.00 90.00
Space group P4/mmm (No. 123)
Symmetry-distinct sites (fractional):
1 Ba 0.000 0.500 0.000 x2
2 Cd 0.000 0.000 0.500 x1
3 Ag 0.500 0.500 0.500 x1
4 Rh 0.500 0.500 0.000 x1

---

No. 2
Compound: Ba2CdAgRh
Source: the Alexandria database
Functional: GGA-PBE
Structure: relaxed

Offset from the most stable computed form in eV per formula unit: 0.000
Spin magnetization in μB per formula unit: 0.0
Formation energy in eV/f.u.: -0.69
N(E_F) in states/eV/f.u.: 3.13

a b c (Å): 5.937 5.937 5.223
angles (deg): 90.00 90.00 90.00
Space group P4/mmm (No. 123)
Symmetry-distinct sites (fractional):
1 Ba 0.000 0.500 0.000 x2
2 Cd 0.000 0.000 0.500 x1
3 Ag 0.500 0.500 0.500 x1
4 Rh 0.000 0.000 0.000 x1

---

No. 3
Compound: BaCdSi2Ag
Source: the Alexandria database
Functional: GGA-PBE
Structure: relaxed

Uncorrected formation energy in kJ/mol of atoms: 144
Offset from the most stable computed form in eV per formula unit: 5.988
Spin magnetization in μB per formula unit: 0.0
N(E_F) in states/eV/f.u.: 6.70

a b c (Å): 5.789 5.789 5.923
angles (deg): 90.00 90.00 90.00
Space group P4/mmm (No. 123)
Symmetry-distinct sites (fractional):
1 Ba 0.000 0.000 0.000 x1
2 Cd 0.500 0.500 0.500 x1
3 Si 0.000 0.500 0.000 x2
4 Ag 0.000 0.000 0.500 x1

---

No. 4
Compound: BaCdSiAg2
Source: the Alexandria database
Functional: GGA-PBE
Structure: relaxed

Uncorrected formation energy in kJ/mol of atoms: 17
Spin magnetization in μB per formula unit: 0.0
N(E_F) in states/eV/f.u.: 2.57

a b c (Å): 5.293 5.293 5.115
angles (deg): 90.00 90.00 90.00
Space group P4/mmm (No. 123)
Symmetry-distinct sites (fractional):
1 Ba 0.000 0.000 0.000 x1
2 Cd 0.500 0.500 0.500 x1
3 Si 0.500 0.500 0.000 x1
4 Ag 0.000 0.500 0.500 x2